A relaxed RbIn3Hg crystal, computed with GGA-PBE.

* formation enthalpy at 0 K: 171 meV/atom
* DOS at the Fermi energy: 4.53 states/eV/f.u.
* total energy: -1.726 eV/atom
* distance to the lowest polymorph of the same formula: 0.299 eV/atom

CIF file:
```
data_RbIn3Hg
_chemical_formula_sum 'Rb1 In3 Hg1'
_cell_length_a 5.796
_cell_length_b 5.796
_cell_length_c 5.796
_cell_angle_alpha 90.00
_cell_angle_beta 90.00
_cell_angle_gamma 90.00
_symmetry_space_group_name_H-M 'P m -3 m'
_symmetry_Int_Tables_number 221
_symmetry_space_group_name_Hall '-P 4 2 3'
loop_
_atom_site_label
_atom_site_type_symbol
_atom_site_fract_x
_atom_site_fract_y
_atom_site_fract_z
Rb1 Rb 0.000 0.000 0.000
In1 In 0.000 0.500 0.500
Hg1 Hg 0.500 0.500 0.500
```